[1]
# meta-GGA SCAN BeTe2PdN, single point on PBEsol structure
# * theoretical density: 7.7 Mg/m³
# * energy relative to the elements, uncorrected: 0.2496 eV/atom
data_BeTe2PdN
_symmetry_space_group_name_H-M 'P 4/m m m'
_symmetry_Int_Tables_number 123
_symmetry_space_group_name_Hall '-P 4 2'
_cell_length_a 5.226
_cell_length_b 5.226
_cell_length_c 3.053
_cell_angle_alpha 90.00
_cell_angle_beta 90.00
_cell_angle_gamma 90.00
loop_
_atom_site_label
_atom_site_fract_x
_atom_site_fract_y
_atom_site_fract_z
Be1 0.000 0.000 0.000
Te1 0.000 0.500 0.000
Pd1 0.500 0.500 0.500
N1 0.000 0.000 0.500


[2]
# meta-GGA SCAN BePt2N, single point on PBEsol structure
# * theoretical density: 12.4 Mg/m³
# * energy relative to the elements, uncorrected: 0.3916 eV/atom
data_BePt2N
_symmetry_space_group_name_H-M 'I -4 2 d'
_symmetry_Int_Tables_number 122
_symmetry_space_group_name_Hall 'I -4 2bw'
_cell_length_a 4.425
_cell_length_b 4.425
_cell_length_c 11.303
_cell_angle_alpha 90.00
_cell_angle_beta 90.00
_cell_angle_gamma 90.00
loop_
_atom_site_label
_atom_site_fract_x
_atom_site_fract_y
_atom_site_fract_z
Be1 0.000 0.000 0.000
Pt1 0.201 0.250 0.625
N1 0.000 0.000 0.500


[3]
# meta-GGA SCAN BePt2N2, single point on PBEsol structure
# * theoretical density: 12.5 Mg/m³
# * energy relative to the elements, uncorrected: 0.8768 eV/atom
data_BePt2N2
_symmetry_space_group_name_H-M 'I 4/m m m'
_symmetry_Int_Tables_number 139
_symmetry_space_group_name_Hall '-I 4 2'
_cell_length_a 3.933
_cell_length_b 3.933
_cell_length_c 7.360
_cell_angle_alpha 90.00
_cell_angle_beta 90.00
_cell_angle_gamma 90.00
loop_
_atom_site_label
_atom_site_fract_x
_atom_site_fract_y
_atom_site_fract_z
Be1 0.000 0.000 0.000
Pt1 0.000 0.500 0.250
N1 0.000 0.000 0.418